*a*
The following is a PBE-GGA calculation of crystalline Ca2ZrTl at its relaxed geometry, from the Alexandria database.

abc: 3.510 3.510 9.817
angles: 90.00 90.00 90.00
Element x y z (fractional)
1 Ca 0.500 0.500 0.293
2 Ca 0.000 0.000 0.971
3 Zr 0.500 0.500 0.718
4 Tl 0.000 0.000 0.519



*b*
The following is a PBE-GGA calculation of crystalline Ca2ZrTl at its relaxed geometry, from the Alexandria database.

abc: 5.484 5.484 5.484
angles: 60.00 60.00 60.00
Site moments in Bohr magnetons follow the coordinates.
Element x y z (fractional)
1 Ca 0.750 0.750 0.750  0.12
2 Ca 0.250 0.250 0.250  0.12
3 Tl 0.500 0.500 0.500  -0.05
4 Zr 0.000 0.000 0.000  1.44



*c*
The following is a PBE-GGA calculation of crystalline Ca2ZrTl at its relaxed geometry, from the Alexandria database.

abc: 5.856 5.856 5.856
angles: 130.66 130.66 72.35
Site moments in Bohr magnetons follow the coordinates.
Element x y z (fractional)
1 Ca 0.250 0.750 0.500  0.06
2 Ca 0.000 0.000 0.000  0.05
3 Tl 0.500 0.500 0.000  -0.02
4 Zr 0.750 0.250 0.500  0.69



If we sort the structures by their calculated energies, the order from most to least stable is *a*, *c*, *b*.



*a*
The following is a PBE-GGA calculation of crystalline Ca2ZrTl at its relaxed geometry, from the Alexandria database.

abc: 6.710 6.714 6.715
angles: 147.78 131.79 59.19
Element x y z (fractional)
1 Ca 0.720 0.221 0.500
2 Ca 0.008 0.008 0.000
3 Tl 0.487 0.486 0.000
4 Zr 0.285 0.785 0.500



*b*
The following is a PBE-GGA calculation of crystalline Ca2ZrTl at its relaxed geometry, from the Alexandria database.

abc: 6.081 6.081 6.081
angles: 134.80 134.80 65.85
Site moments in Bohr magnetons follow the coordinates.
Element x y z (fractional)
1 Ca 0.500 0.500 0.000  0.06
2 Ca 0.000 0.000 0.000  0.06
3 Zr 0.750 0.250 0.500  0.56
4 Tl 0.250 0.750 0.500  -0.01



If we sort the structures by their calculated energies, the order from most to least stable is *a*, *b*.



*a*
The following is a PBE-GGA calculation of crystalline Ca2ZrTl at its relaxed geometry, from the Alexandria database.

abc: 5.171 3.548 6.819
angles: 74.94 90.00 90.00
Site moments in Bohr magnetons follow the coordinates.
Element x y z (fractional)
1 Ca 0.000 0.959 0.959  0.04
2 Ca 0.500 0.291 0.293  0.01
3 Zr 0.500 0.568 0.741  0.24
4 Tl 0.000 0.682 0.507  0.00



*b*
The following is a PBE-GGA calculation of crystalline Ca2ZrTl at its relaxed geometry, from the Alexandria database.

abc: 6.518 6.518 5.350
angles: 65.82 65.82 33.67
Element x y z (fractional)
1 Tl 0.750 0.750 0.750
2 Zr 0.250 0.250 0.250
3 Ca 0.016 0.016 0.984
4 Ca 0.484 0.484 0.516



*c*
The following is a PBE-GGA calculation of crystalline Ca2ZrTl at its relaxed geometry, from the Alexandria database.

abc: 5.646 5.646 3.713
angles: 90.00 90.00 90.00
Site moments in Bohr magnetons follow the coordinates.
Element x y z (fractional)
1 Ca 0.500 0.500 0.000  0.11
2 Ca 0.000 0.000 0.000  0.11
3 Zr 0.000 0.500 0.500  1.18
4 Tl 0.500 0.000 0.500  0.01



*d*
The following is a PBE-GGA calculation of crystalline Ca2ZrTl at its relaxed geometry, from the Alexandria database.

abc: 11.402 11.402 11.402
angles: 17.55 17.55 17.55
Element x y z (fractional)
1 Tl 0.250 0.250 0.250
2 Ca 0.502 0.502 0.502
3 Ca 0.998 0.998 0.998
4 Zr 0.750 0.750 0.750



If we sort the structures by their calculated energies, the order from most to least stable is *a*, *d*, *b*, *c*.



*a*
The following is a PBE-GGA calculation of crystalline Ca2ZrTl at its relaxed geometry, from the Alexandria database.

abc: 8.730 8.730 6.955
angles: 51.13 51.13 90.00
Site moments in Bohr magnetons follow the coordinates.
Element x y z (fractional)
1 Ca 0.375 0.352 0.750  0.03
2 Ca 0.648 0.125 0.250  0.03
3 Ca 0.102 0.625 0.250  0.03
4 Ca 0.875 0.898 0.750  0.03
5 Tl 0.000 0.000 0.000  -0.01
6 Tl 0.750 0.250 0.500  -0.01
7 Zr 0.500 0.500 0.000  0.57
8 Zr 0.250 0.750 0.500  0.57



*b*
The following is a PBE-GGA calculation of crystalline Ca2ZrTl at its relaxed geometry, from the Alexandria database.

abc: 7.432 6.130 3.402
angles: 89.87 63.00 118.70
Site moments in Bohr magnetons follow the coordinates.
Element x y z (fractional)
1 Ca 0.500 0.000 0.500  0.02
2 Ca 0.000 0.000 0.000  0.02
3 Zr 0.500 0.500 0.000  0.41
4 Tl 0.000 0.500 0.500  0.00



*c*
The following is a PBE-GGA calculation of crystalline Ca2ZrTl at its relaxed geometry, from the Alexandria database.

abc: 4.708 4.713 5.030
angles: 90.00 90.00 90.00
Site moments in Bohr magnetons follow the coordinates.
Element x y z (fractional)
1 Tl 0.500 0.000 0.500  -0.03
2 Ca 0.000 0.000 0.000  0.03
3 Ca 0.500 0.500 0.000  0.03
4 Zr 0.000 0.500 0.500  0.60



If we sort the structures by their calculated energies, the order from most to least stable is *c*, *b*, *a*.



*a*
The following is a PBE-GGA calculation of crystalline Ca2Tm at its relaxed geometry, from the Alexandria database.

abc: 6.871 6.871 6.871
angles: 60.00 60.00 60.00
Site moments in Bohr magnetons follow the coordinates.
Element x y z (fractional)
1 Ca 0.125 0.625 0.625  0.05
2 Ca 0.625 0.625 0.125  0.05
3 Ca 0.625 0.125 0.625  0.05
4 Ca 0.625 0.625 0.625  0.05
5 Tm 0.250 0.250 0.250  0.44
6 Tm 0.000 0.000 0.000  0.44



*b*
The following is a PBE-GGA calculation of crystalline Ca2Tm at its relaxed geometry, from the Alexandria database.

abc: 3.701 3.706 10.061
angles: 79.49 100.57 60.01
Site moments in Bohr magnetons follow the coordinates.
Element x y z (fractional)
1 Ca 0.273 0.368 0.877  0.02
2 Ca 0.289 0.685 0.229  0.02
3 Tm 0.282 0.024 0.553  0.22



If we sort the structures by their calculated energies, the order from most to least stable is *b*, *a*.



*a*
The following is a PBE-GGA calculation of crystalline CaTm2 at its relaxed geometry, from the Alexandria database.

abc: 6.663 6.663 6.663
angles: 60.00 60.00 60.00
Element x y z (fractional)
1 Ca 0.250 0.250 0.250
2 Ca 0.000 0.000 0.000
3 Tm 0.625 0.625 0.125
4 Tm 0.125 0.625 0.625
5 Tm 0.625 0.125 0.625
6 Tm 0.625 0.625 0.625



*b*
The following is a PBE-GGA calculation of crystalline CaTm2 at its relaxed geometry, from the Alexandria database.

abc: 3.592 3.592 8.117
angles: 102.78 102.78 90.00
Element x y z (fractional)
1 Tm 0.677 0.677 0.355
2 Tm 0.323 0.323 0.645
3 Ca 0.000 0.000 0.000



If we sort the structures by their calculated energies, the order from most to least stable is *b*, *a*.



*a*
The following is a PBE-GGA calculation of crystalline CaYTm2 at its relaxed geometry, from the Alexandria database.

abc: 3.569 3.569 12.128
angles: 81.54 81.54 60.00
Site moments in Bohr magnetons follow the coordinates.
Element x y z (fractional)
1 Y 0.666 0.666 0.001  -0.01
2 Tm 0.255 0.255 0.236  0.17
3 Tm 0.079 0.079 0.764  -0.12
4 Ca 0.501 0.501 0.498  0.00



*b*
The following is a PBE-GGA calculation of crystalline CaYTm2 at its relaxed geometry, from the Alexandria database.

abc: 5.714 5.714 5.714
angles: 60.00 60.00 60.00
Site moments in Bohr magnetons follow the coordinates.
Element x y z (fractional)
1 Ca 0.000 0.000 0.000  0.03
2 Y 0.500 0.500 0.500  0.14
3 Tm 0.750 0.750 0.750  0.20
4 Tm 0.250 0.250 0.250  0.20



If we sort the structures by their calculated energies, the order from most to least stable is *a*, *b*.



*a*
The following is a PBE-GGA calculation of crystalline CaYTm2 at its relaxed geometry, from the Alexandria database.

abc: 3.570 3.570 12.165
angles: 81.56 81.56 60.00
Element x y z (fractional)
1 Ca 0.500 0.500 0.500
2 Y 0.000 0.000 0.000
3 Tm 0.745 0.745 0.764
4 Tm 0.255 0.255 0.236



*b*
The following is a PBE-GGA calculation of crystalline CaYTm2 at its relaxed geometry, from the Alexandria database.

abc: 5.098 5.061 5.061
angles: 90.00 90.00 90.00
Element x y z (fractional)
1 Tm 0.000 0.000 0.500
2 Tm 0.000 0.500 0.000
3 Y 0.500 0.500 0.500
4 Ca 0.500 0.000 0.000



If we sort the structures by their calculated energies, the order from most to least stable is *a*, *b*.



*a*
The following is a PBE-GGA calculation of crystalline CaY2Tm at its relaxed geometry, from the Alexandria database.

abc: 3.594 3.594 12.202
angles: 81.53 81.53 60.00
Site moments in Bohr magnetons follow the coordinates.
Element x y z (fractional)
1 Tm 0.666 0.666 0.001  -0.01
2 Y 0.078 0.078 0.766  -0.07
3 Y 0.255 0.255 0.234  0.11
4 Ca 0.501 0.501 0.498  0.01



*b*
The following is a PBE-GGA calculation of crystalline CaY2Tm at its relaxed geometry, from the Alexandria database.

abc: 3.610 3.610 10.369
angles: 90.00 90.00 90.00
Element x y z (fractional)
1 Y 0.000 0.000 0.771
2 Y 0.000 0.000 0.229
3 Ca 0.500 0.500 0.500
4 Tm 0.500 0.500 0.000



If we sort the structures by their calculated energies, the order from most to least stable is *a*, *b*.



*a*
The following is a PBE-GGA calculation of crystalline CaY2Tm at its relaxed geometry, from the Alexandria database.

abc: 5.743 5.743 5.743
angles: 60.00 60.00 60.00
Element x y z (fractional)
1 Tm 0.000 0.000 0.000
2 Y 0.250 0.250 0.250
3 Y 0.750 0.750 0.750
4 Ca 0.500 0.500 0.500



*b*
The following is a PBE-GGA calculation of crystalline CaY2Tm at its relaxed geometry, from the Alexandria database.

abc: 5.063 5.126 5.126
angles: 90.00 90.00 90.00
Element x y z (fractional)
1 Tm 0.500 0.500 0.500
2 Y 0.000 0.000 0.500
3 Y 0.000 0.500 0.000
4 Ca 0.500 0.000 0.000



If we sort the structures by their calculated energies, the order from most to least stable is *b*, *a*.



*a*
The following is a PBE-GGA calculation of crystalline CaTmZn4 at its relaxed geometry, from the Alexandria database.

abc: 4.506 4.506 7.110
angles: 90.00 90.00 120.00
Element x y z (fractional)
1 Zn 0.333 0.667 0.212
2 Zn 0.333 0.667 0.788
3 Zn 0.667 0.333 0.212
4 Zn 0.667 0.333 0.788
5 Ca 0.000 0.000 0.500
6 Tm 0.000 0.000 0.000



*b*
The following is a PBE-GGA calculation of crystalline CaTmZn4 at its relaxed geometry, from the Alexandria database.

abc: 5.472 5.472 5.472
angles: 60.00 60.00 60.00
Element x y z (fractional)
1 Zn 0.626 0.626 0.123
2 Zn 0.626 0.123 0.626
3 Zn 0.123 0.626 0.626
4 Zn 0.626 0.626 0.626
5 Ca 0.250 0.250 0.250
6 Tm 0.000 0.000 0.000



If we sort the structures by their calculated energies, the order from most to least stable is *a*, *b*.



*a*
The following is a PBE-GGA calculation of crystalline CaVW2 at its relaxed geometry, from the Alexandria database.

abc: 4.595 4.595 4.595
angles: 60.00 60.00 60.00
Element x y z (fractional)
1 V 0.500 0.500 0.500
2 W 0.250 0.250 0.250
3 W 0.750 0.750 0.750
4 Ca 0.000 0.000 0.000



*b*
The following is a PBE-GGA calculation of crystalline CaVW2 at its relaxed geometry, from the Alexandria database.

abc: 4.885 4.885 9.258
angles: 74.70 74.70 90.00
Element x y z (fractional)
1 W 0.375 0.147 0.750
2 W 0.853 0.125 0.250
3 W 0.897 0.625 0.250
4 W 0.875 0.103 0.750
5 V 0.000 0.000 0.000
6 V 0.750 0.250 0.500
7 Ca 0.500 0.500 0.000
8 Ca 0.250 0.750 0.500



If we sort the structures by their calculated energies, the order from most to least stable is *a*, *b*.



*a*
The following is a PBE-GGA calculation of crystalline Ca2YV at its relaxed geometry, from the Alexandria database.

abc: 5.562 5.562 5.562
angles: 60.00 60.00 60.00
Site moments in Bohr magnetons follow the coordinates.
Element x y z (fractional)
1 V 0.000 0.000 0.000  2.80
2 Ca 0.750 0.750 0.750  0.04
3 Ca 0.250 0.250 0.250  0.04
4 Y 0.500 0.500 0.500  -0.01



*b*
The following is a PBE-GGA calculation of crystalline Ca2YV at its relaxed geometry, from the Alexandria database.

abc: 7.028 7.028 7.498
angles: 62.05 62.05 90.00
Element x y z (fractional)
1 Ca 0.375 0.625 0.750
2 Ca 0.375 0.625 0.250
3 Ca 0.375 0.125 0.250
4 Ca 0.875 0.625 0.750
5 Y 0.750 0.250 0.500
6 Y 0.000 0.000 0.000
7 V 0.500 0.500 0.000
8 V 0.250 0.750 0.500



If we sort the structures by their calculated energies, the order from most to least stable is *a*, *b*.